1.
A relaxed NaLi2IrO4 crystal. Source: Alexandria via LeMat-Bulk, functional GGA-PBE.

Geometry as POSCAR:
```
NaLi2IrO4
1.0
-2.613 2.613 3.643
2.613 -2.613 3.643
2.613 2.613 -3.643
Na Li Ir O
1 2 1 4
direct
0.000 0.000 0.000
0.250 0.750 0.500
0.750 0.250 0.500
0.500 0.500 0.000
0.145 0.574 0.000
0.426 0.426 0.570
0.574 0.145 0.000
0.855 0.855 0.430
```

For the formation energy from raw total energies, the calculation gives -1.211 eV/atom.

2.
A relaxed Na2LiIrO4 crystal. Source: Alexandria via LeMat-Bulk, functional GGA-PBE.

Geometry as POSCAR:
```
Na2LiIrO4
1.0
5.268 0.000 0.000
0.000 3.184 0.000
-1.729 0.000 5.286
Na Li Ir O
2 1 1 4
direct
0.000 0.000 0.000
0.500 0.500 0.000
0.000 0.500 0.500
0.500 0.000 0.500
0.266 0.000 0.707
0.283 0.500 0.302
0.717 0.500 0.698
0.734 0.000 0.293
```

For the formation energy from raw total energies, the calculation gives -1.343 eV/atom.

3.
A relaxed NaLi2IrO crystal. Source: Alexandria via LeMat-Bulk, functional GGA-PBE.

Geometry as POSCAR:
```
NaLi2IrO
1.0
4.550 0.000 0.000
0.000 4.550 0.000
0.000 0.000 3.839
Na Li Ir O
1 2 1 1
direct
0.000 0.000 0.000
0.000 0.500 0.000
0.500 0.000 0.000
0.500 0.500 0.500
0.000 0.000 0.500
```

For the formation energy from raw total energies, the calculation gives 0.565 eV/atom.

4.
A relaxed Na2Li2IrO6 crystal. Source: Alexandria via LeMat-Bulk, functional GGA-PBE.

Geometry as POSCAR:
```
Na2Li2IrO6
1.0
5.121 0.000 0.000
-2.561 4.435 0.000
0.000 0.000 5.404
Na Li Ir O
2 2 1 6
direct
0.333 0.667 0.000
0.667 0.333 0.000
0.333 0.667 0.500
0.667 0.333 0.500
0.000 0.000 0.500
0.000 0.306 0.301
0.000 0.694 0.699
0.306 0.000 0.301
0.306 0.306 0.699
0.694 0.000 0.699
0.694 0.694 0.301
```

For the formation energy from raw total energies, the calculation gives -1.212 eV/atom.

5.
A relaxed Na2Li2IrO4 crystal. Source: Alexandria via LeMat-Bulk, functional GGA-PBE.

Geometry as POSCAR:
```
Na2Li2IrO4
1.0
5.340 -1.622 0.000
5.340 1.622 0.000
-4.616 0.000 6.051
Na Li Ir O
2 2 1 4
direct
0.173 0.173 0.289
0.827 0.827 0.711
0.342 0.342 0.126
0.658 0.658 0.874
0.000 0.000 0.500
0.218 0.218 0.804
0.440 0.440 0.606
0.560 0.560 0.394
0.782 0.782 0.196
```

For the formation energy from raw total energies, the calculation gives -1.395 eV/atom.

6.
A relaxed NaLi2IrPb crystal. Source: Alexandria via LeMat-Bulk, functional GGA-PBE.

Geometry as POSCAR:
```
NaLi2IrPb
1.0
4.954 0.000 0.000
0.000 4.954 0.000
0.000 0.000 5.454
Na Li Ir Pb
1 2 1 1
direct
0.000 0.000 0.000
0.000 0.500 0.500
0.500 0.000 0.500
0.500 0.500 0.000
0.000 0.000 0.500
```

For the formation energy, the calculation gives 1.115 eV/atom.

7.
A relaxed RbNa2LiIr crystal. Source: Alexandria via LeMat-Bulk, functional GGA-PBE.

Geometry as POSCAR:
```
RbNa2LiIr
1.0
5.635 0.000 0.000
0.000 5.635 0.000
0.000 0.000 4.959
Rb Na Li Ir
1 2 1 1
direct
0.000 0.000 0.000
0.000 0.500 0.500
0.500 0.000 0.500
0.500 0.500 0.000
0.500 0.500 0.500
```

For the formation energy, the calculation gives 0.438 eV/atom.

8.
A relaxed Na4LiIr3S8 crystal. Source: Alexandria via LeMat-Bulk, functional GGA-PBE.

Geometry as POSCAR:
```
Na4LiIr3S8
1.0
3.673 2.121 6.292
-3.673 2.121 6.292
0.000 -4.242 6.292
Na Li Ir S
4 1 3 8
direct
0.000 0.000 0.000
0.000 0.500 0.500
0.500 0.000 0.500
0.500 0.500 0.000
0.500 0.500 0.500
0.000 0.000 0.500
0.000 0.500 0.000
0.500 0.000 0.000
0.213 0.742 0.742
0.228 0.228 0.228
0.258 0.258 0.787
0.258 0.787 0.258
0.742 0.213 0.742
0.742 0.742 0.213
0.772 0.772 0.772
0.787 0.258 0.258
```

For the formation energy from raw total energies, the calculation gives -0.684 eV/atom.

9.
A relaxed Na2Sr6LiIr crystal. Source: Alexandria via LeMat-Bulk, functional GGA-PBE.

Geometry as POSCAR:
```
Na2Sr6LiIr
1.0
7.611 0.000 0.000
0.000 9.509 0.000
-6.504 0.000 12.048
Na Sr Li Ir
4 12 2 2
direct
0.141 0.102 0.265
0.141 0.398 0.765
0.859 0.602 0.235
0.859 0.898 0.735
0.134 0.152 0.963
0.134 0.348 0.463
0.324 0.715 0.952
0.324 0.785 0.452
0.405 0.039 0.766
0.405 0.461 0.266
0.595 0.539 0.734
0.595 0.961 0.234
0.676 0.215 0.548
0.676 0.285 0.048
0.866 0.652 0.537
0.866 0.848 0.037
0.000 0.000 0.500
0.000 0.500 0.000
0.500 0.000 0.000
0.500 0.500 0.500
```

For the formation energy, the calculation gives -0.039 eV/atom.

10.
A relaxed NaLiTl2Ir crystal. Source: Alexandria via LeMat-Bulk, functional GGA-PBE.

Geometry as POSCAR:
```
NaLiTl2Ir
1.0
5.271 0.000 0.000
0.000 5.271 0.000
0.000 0.000 4.919
Na Li Tl Ir
1 1 2 1
direct
0.000 0.000 0.000
0.500 0.500 0.000
0.000 0.500 0.500
0.500 0.000 0.500
0.500 0.500 0.500
```

For the formation energy, the calculation gives 0.040 eV/atom.

11.
A relaxed NaLi2TlIr crystal. Source: Alexandria via LeMat-Bulk, functional GGA-PBE.

Geometry as POSCAR:
```
NaLi2TlIr
1.0
4.269 0.000 0.000
0.000 4.269 0.000
0.000 0.000 5.141
Na Li Tl Ir
1 2 1 1
direct
0.000 0.000 0.000
0.000 0.500 0.000
0.500 0.000 0.000
0.000 0.000 0.500
0.500 0.500 0.500
```

For the formation energy, the calculation gives 0.898 eV/atom.

12.
A relaxed NaLiYIr2 crystal. Source: Alexandria via LeMat-Bulk, functional GGA-PBE.

Geometry as POSCAR:
```
NaLiYIr2
1.0
4.920 0.000 0.000
0.000 4.920 0.000
0.000 0.000 3.785
Na Li Y Ir
1 1 1 2
direct
0.000 0.000 0.000
0.000 0.000 0.500
0.500 0.500 0.500
0.000 0.500 0.000
0.500 0.000 0.000
```

For the formation energy, the calculation gives 0.594 eV/atom.